# 1
# Ho4Tl2Ir

A relaxed Ho4Tl2Ir crystal (PBE-GGA, Alexandria via LeMat-Bulk). Values from VASP.

```
&SYSTEM
  ibrav = 0, nat = 7, ntyp = 3
/
ATOMIC_SPECIES
Ho 164.93 Ho.upf
Tl 204.38 Tl.upf
Ir 192.22 Ir.upf
CELL_PARAMETERS angstrom
-1.881 -3.271 0.098
0.340 -0.468 -9.095
4.963 -2.647 6.892
ATOMIC_POSITIONS angstrom
Ho 3.147 -4.079 -3.046
Ho 1.219 -0.780 -2.647
Ho 1.032 -2.752 0.627
Ho 4.841 -2.780 0.130
Tl 3.200 -3.934 2.785
Tl 0.980 -2.897 -5.204
Ir 0.379 -0.223 -0.157
```

## Properties
size of the total moment = 0.00 μB/f.u.
formation energy from the elements = -0.37 eV per atom
space group = P2/m

---

# 2
# TbH2

A relaxed TbH2 crystal (PBE-GGA, Alexandria via LeMat-Bulk). Values from VASP.

```
&SYSTEM
  ibrav = 0, nat = 3, ntyp = 2
/
ATOMIC_SPECIES
H 1.01 H.upf
Tb 158.93 Tb.upf
CELL_PARAMETERS angstrom
-1.456 -3.390 0.067
1.915 1.123 -2.947
2.861 0.818 2.181
ATOMIC_POSITIONS angstrom
H 1.897 -0.801 0.933
H 1.424 -0.648 -1.632
Tb 0.000 0.000 0.000
```

## Properties
size of the total moment = 0.00 μB/f.u.
E = -13.46 eV for the cell shown
space group = I4/mmm

---

# 3
# B4Au2I

A relaxed B4Au2I crystal (PBE-GGA, Alexandria via LeMat-Bulk). Values from VASP.

```
&SYSTEM
  ibrav = 0, nat = 7, ntyp = 3
/
ATOMIC_SPECIES
I 126.90 I.upf
B 10.81 B.upf
Au 196.97 Au.upf
CELL_PARAMETERS angstrom
-3.712 -1.462 2.167
2.496 -3.101 2.184
0.367 1.457 6.369
ATOMIC_POSITIONS angstrom
I 0.000 0.000 0.000
B -0.810 -3.005 6.097
B -0.039 -0.100 4.622
B 1.248 -1.550 1.092
B -1.856 -0.731 1.083
Au -0.472 -1.710 7.550
Au -0.377 -1.396 3.169
```

## Properties
size of the total moment = 0.00 μB/f.u.
ΔE_f (raw) = 1923 meV/atom
space group = I4/mmm

---

# 4
# PrTh2Pt2

A relaxed PrTh2Pt2 crystal (PBE-GGA, Alexandria via LeMat-Bulk). Values from VASP.

```
&SYSTEM
  ibrav = 0, nat = 10, ntyp = 3
/
ATOMIC_SPECIES
Pr 140.91 Pr.upf
Th 232.04 Th.upf
Pt 195.08 Pt.upf
CELL_PARAMETERS angstrom
-0.024 -3.757 -0.752
7.808 -0.563 2.567
-2.628 -1.516 7.660
ATOMIC_POSITIONS angstrom
Pr 3.892 -2.160 0.908
Pr -1.326 -2.636 3.454
Th 4.330 -0.880 4.265
Th 4.317 -1.732 8.522
Th 0.864 -0.347 1.705
Th 0.850 -1.198 5.962
Pt 1.914 -2.652 3.427
Pt 6.459 -2.564 2.844
Pt -1.302 -3.272 6.631
Pt 3.242 -3.184 6.048
```

## Properties
size of the total moment = 0.00 μB/f.u.
formation energy from the elements = -0.94 eV per atom
space group = P4/mbm
E above lowest polymorph = 0.0 meV per atom